[1]
NaAg2Ge: relaxed, PBE.

Cell lengths 4.4677, 4.4677, 3.8091 Å; angles 90.00, 90.00, 90.00 degrees
Closest atoms and distances in Å follow each position.
Fractional positions:
Na 0.0000 0.0000 0.0000  8 Ag 2.94, 4 Ge 3.16
Ag 0.0000 0.5000 0.5000  4 Ge 2.94, 4 Na 2.94, 4 Ag 3.16
Ag 0.5000 0.0000 0.5000  4 Ge 2.94, 4 Na 2.94, 4 Ag 3.16
Ge 0.5000 0.5000 0.0000  8 Ag 2.94, 4 Na 3.16

Values from the calculation:
E (eV per formula unit): -11.34
SG: P4/mmm, No. 123
Formation energy from the elements (meV/atom): 74
ρ (g/cm³): 6.80
DOS at the Fermi energy (states/eV per cell): 1.9



[2]
NaAg3Ge: relaxed, PBE.

Cell lengths 8.7455, 8.7455, 6.0954 Å; angles 100.24, 100.24, 63.71 degrees
Closest atoms and distances in Å follow each position.
Fractional positions:
Na 0.0125 0.9875 0.7500  3 Na 3.06-3.41, 2 Ge 3.13, 8 Ag 3.30-3.37
Na 0.3568 0.6432 0.2500  6 Ge 3.19-3.31, 8 Ag 3.32-3.50, 1 Na 3.41
Na 0.6432 0.3568 0.7500  6 Ge 3.19-3.31, 8 Ag 3.32-3.50, 1 Na 3.41
Na 0.9875 0.0125 0.2500  3 Na 3.06-3.41, 2 Ge 3.13, 8 Ag 3.30-3.37
Ag 0.0201 0.3381 0.0780  1 Ge 2.61, 3 Ag 2.88-2.90
Ag 0.0226 0.3319 0.6017  1 Ge 2.60, 3 Ag 2.88-2.90
Ag 0.3167 0.3184 0.9111  2 Ge 2.62-2.65, 2 Ag 2.88
Ag 0.3184 0.3167 0.4111  2 Ge 2.62-2.65, 2 Ag 2.88
Ag 0.3319 0.0226 0.1017  1 Ge 2.60, 3 Ag 2.88-2.90
Ag 0.3381 0.0201 0.5780  1 Ge 2.61, 3 Ag 2.88-2.90
Ag 0.6619 0.9799 0.4220  1 Ge 2.61, 3 Ag 2.88-2.90
Ag 0.6681 0.9774 0.8983  1 Ge 2.60, 3 Ag 2.88-2.90
Ag 0.6816 0.6833 0.5889  2 Ge 2.62-2.65, 2 Ag 2.88
Ag 0.6833 0.6816 0.0889  2 Ge 2.62-2.65, 2 Ag 2.88
Ag 0.9774 0.6681 0.3983  1 Ge 2.60, 3 Ag 2.88-2.90
Ag 0.9799 0.6619 0.9220  1 Ge 2.61, 3 Ag 2.88-2.90
Ge 0.2393 0.5908 0.7055  1 Ge 2.47, 4 Ag 2.60-2.65
Ge 0.4092 0.7607 0.7945  1 Ge 2.47, 4 Ag 2.60-2.65
Ge 0.5908 0.2393 0.2055  1 Ge 2.47, 4 Ag 2.60-2.65
Ge 0.7607 0.4092 0.2945  1 Ge 2.47, 4 Ag 2.60-2.65

Values from the calculation:
E (eV per formula unit): -14.45
SG: C2/c, No. 15
Formation energy from the elements (meV/atom): 7
ρ (g/cm³): 6.81
DOS at the Fermi energy (states/eV per cell): 5.9